1.
DFT (PBE) results for an optimized crystal structure of Zn2Cr2Rh3.

abc: 4.268 4.274 7.080
angles: 90.06 107.56 120.16
Each line ends with the local moment (μB).
Element x y z (fractional)
Cr  0.778  0.390  0.167  2.26
Cr  0.222  0.610  0.833  2.26
Rh  0.477  0.740  0.216  -0.19
Rh  0.523  0.260  0.784  -0.19
Rh  0.000  0.000  0.000  0.21
Zn  0.263  0.132  0.393  0.00
Zn  0.737  0.868  0.607  0.00

calculated formation energy: -0.014 eV per atom
total magnetization: 4.61 Bohr magnetons per cell
DOS at the Fermi energy: 9.72 states/eV/cell

***

2.
DFT (PBE) results for an optimized crystal structure of Zn4CrRh5.

abc: 3.021 3.021 15.086
angles: 90.00 90.00 90.00
Each line ends with the local moment (μB).
Element x y z (fractional)
Rh  0.500  0.500  0.097  0.00
Rh  0.500  0.500  0.701  -0.03
Rh  0.500  0.500  0.500  -0.05
Rh  0.500  0.500  0.299  -0.03
Rh  0.500  0.500  0.903  0.00
Zn  0.000  0.000  0.202  -0.01
Zn  0.000  0.000  0.600  0.00
Zn  0.000  0.000  0.798  -0.01
Zn  0.000  0.000  0.400  0.00
Cr  0.000  0.000  0.000  2.13

calculated formation energy: -0.324 eV per atom
total magnetization: 2.07 Bohr magnetons per cell
DOS at the Fermi energy: 9.64 states/eV/cell